Material: Cs2RbLaBr6
Method: DFT, PBE-GGA
State: optimized geometry

a = 8.4735 Å, b = 8.9172 Å, c = 14.6728 Å
α = 90.00°, β = 124.39°, γ = 90.00°
Last column: nearest neighbours and their distance in Å.
Sites, in units of the cell vectors:
Cs: 0.2223 0.0676 0.2463  6 Br 3.65-3.95
Cs: 0.2223 0.4324 0.7463  6 Br 3.65-3.95
Cs: 0.7777 0.5676 0.2537  6 Br 3.65-3.95
Cs: 0.7777 0.9324 0.7537  6 Br 3.65-3.95
Rb: 0.0000 0.0000 0.5000  6 Br 3.41-3.47
Rb: 0.0000 0.5000 0.0000  6 Br 3.41-3.47
La: 0.5000 0.0000 0.0000  6 Br 2.95-2.96
La: 0.5000 0.5000 0.5000  6 Br 2.95-2.96
Br: 0.1711 0.1837 0.9513  1 La 2.95
Br: 0.1711 0.3163 0.4513  1 La 2.95
Br: 0.2620 0.7263 0.9390  1 La 2.96
Br: 0.2620 0.7737 0.4390  1 La 2.96
Br: 0.3767 0.0388 0.7690  1 La 2.95
Br: 0.3767 0.4612 0.2690  1 La 2.95
Br: 0.6233 0.5388 0.7310  1 La 2.95
Br: 0.6233 0.9612 0.2310  1 La 2.95
Br: 0.7380 0.2263 0.5610  1 La 2.96
Br: 0.7380 0.2737 0.0610  1 La 2.96
Br: 0.8289 0.6837 0.5487  1 La 2.95
Br: 0.8289 0.8163 0.0487  1 La 2.95

- Formation energy from raw total energies: -19.1 eV/f.u.
- Crystal system: monoclinic
- Size of the total moment: 0.00 μB per atom
- V: 45.7 A^3/atom

Material: OsRh3
Method: DFT, PBE-GGA
State: optimized geometry

a = 2.7389 Å, b = 2.7389 Å, c = 8.7708 Å
α = 90.00°, β = 90.00°, γ = 120.00°
Last column: nearest neighbours and their distance in Å.
Sites, in units of the cell vectors:
Os: 0.0000 0.0000 0.0000  6 Rh 2.66, 6 Os 2.74
Rh: 0.0000 0.0000 0.5000  12 Rh 2.74-2.75
Rh: 0.3333 0.6667 0.2441  3 Os 2.66, 9 Rh 2.74-2.75
Rh: 0.3333 0.6667 0.7559  3 Os 2.66, 9 Rh 2.74-2.75

- Crystal system: hexagonal
- Formation enthalpy at 0 K: 0.7 kcal/mol of atoms
- Size of the total moment: 0.00 μB per atom
- V: 14.2 A^3/atom